Version one
A plane-wave DFT calculation with meta-GGA SCAN was carried out for a PBEsol-optimized structure of Si2MoBr.

a = 3.5814 Å, b = 4.1474 Å, c = 5.0234 Å
α = 90.00°, β = 106.28°, γ = 90.00°
Space group Pm (No. 6)
Asymmetric unit:
Si1 0.0000 0.0000 0.0000
Si2 0.4144 0.5000 0.9017
Mo1 0.3647 0.0000 0.6503
Br1 0.6350 0.5000 0.3954

## Properties
Density of states at the Fermi level: 1.408 states/eV per cell
Crystal system: monoclinic



Version two
A plane-wave DFT calculation with meta-GGA SCAN was carried out for a PBEsol-optimized structure of Si2MoBr.

a = 5.5989 Å, b = 7.6225 Å, c = 2.9225 Å
α = 90.00°, β = 90.00°, γ = 90.00°
Space group Cmmm (No. 65)
Asymmetric unit:
Si1 0.2500 0.2500 0.0000
Mo1 0.0000 0.0000 0.5000
Br1 0.0000 0.5000 0.5000

## Properties
Density of states at the Fermi level: 5.227 states/eV per cell
Crystal system: orthorhombic



Which structure is most stable? version one, by 32.9 kJ/mol of atoms over the runner-up.